# Zr2PbBr

Zr2PbBr after structural relaxation (PBE-GGA, Alexandria via LeMat-Bulk).

Volume   117.0 Å³/f.u.
E_form (uncorrected)   -0.195 eV per atom
M_tot   0.0 μB/cell

Cell lengths 5.390, 5.390, 8.014 Å; angles 119.23, 119.23, 35.83 degrees
Atoms (fractional coordinates):
Zr 0.210 0.210 0.322
Zr 0.790 0.790 0.678
Pb 0.000 0.000 0.500
Br 0.500 0.500 0.000